(1)
CrCo2, relaxed, DFT PBEsol; DOS at the Fermi energy = 1.235 states/eV per atom; energy of formation = 0.03 eV/atom; volume = 61.3 Å³/cell; theoretical density = 9.21 Mg/m³
1.0
1.725 -5.157 0.000
1.725 5.157 0.000
0.000 0.000 3.444
Cr Co
2 4
Direct
0.088 0.912 0.750
0.912 0.088 0.250
0.250 0.750 0.250
0.419 0.581 0.750
0.581 0.419 0.250
0.750 0.250 0.750

---

(2)
Y2MnCrPt, relaxed, DFT PBEsol; DOS at the Fermi energy = 1.059 states/eV per atom; energy of formation = 0.52 eV/atom; volume = 135.7 Å³/cell; theoretical density = 5.87 Mg/m³
1.0
5.251 0.000 0.000
0.000 5.251 0.000
0.000 0.000 4.921
Y Mn Cr Pt
2 1 1 1
Direct
0.000 0.500 0.000
0.500 0.000 0.000
0.000 0.000 0.500
0.500 0.500 0.500
0.500 0.500 0.000

---

(3)
CaAgAs2, relaxed, DFT PBEsol; DOS at the Fermi energy = 0.264 states/eV per atom; energy of formation = -0.46 eV/atom; volume = 91.6 Å³/cell; theoretical density = 5.40 Mg/m³
1.0
3.936 0.000 0.000
0.000 4.080 0.000
-0.082 0.000 5.707
Ca Ag As
1 1 2
Direct
0.000 0.000 0.000
0.500 0.000 0.500
0.493 0.500 0.785
0.507 0.500 0.215